A geometry-optimized GeAsPtO structure, computed with GGA-PBE.

Structure (extended XYZ):
```
8
Lattice="4.223 0.000 0.000 0.000 4.223 0.000 0.000 0.000 7.765" Properties=species:S:1:pos:R:3 pbc="T T T"
Ge 1.056 3.167 3.882
O 3.167 1.056 0.000
As 1.056 1.056 5.417
Pt 1.056 1.056 0.488
As 3.167 3.167 2.347
O 1.056 3.167 0.000
Pt 3.167 3.167 7.277
Ge 3.167 1.056 3.882
```

V, Å³/cell: 138
Symmetry: P4/nmm (129)
Polymorph energy (0 for the lowest one), eV per formula unit: 3.17
M_tot, Bohr magnetons per cell: 0.0



A geometry-optimized BeCuReSn structure, computed with GGA-PBE.

Structure (extended XYZ):
```
4
Lattice="-4.157 -1.058 0.725 -2.736 -0.491 -3.347 -1.454 -3.962 -1.059" Properties=species:S:1:pos:R:3 pbc="T T T"
Re -2.087 -1.377 -0.920
Cu -6.260 -4.132 -2.761
Be -4.173 -2.755 -1.840
Sn 0.000 0.000 0.000
```

V, Å³/cell: 58
Symmetry: F-43m (216)
Polymorph energy (0 for the lowest one), eV per formula unit: 0.00
M_tot, Bohr magnetons per cell: 0.0



A geometry-optimized TcBiPO structure, computed with GGA-PBE.

Structure (extended XYZ):
```
8
Lattice="-1.946 1.467 -2.408 -0.977 -5.469 -2.544 -6.132 -0.943 4.382" Properties=species:S:1:pos:R:3 pbc="T T T"
O -6.413 -4.819 2.246
Bi -4.058 -4.505 0.534
Tc -7.867 -4.848 0.966
O -2.916 -1.935 1.177
P -5.955 -0.820 1.876
P -3.576 -4.198 -2.106
Bi -0.543 -1.522 -0.489
Tc -4.117 -0.547 0.556
```

V, Å³/cell: 159
Symmetry: Pmc2_1 (26)
Polymorph energy (0 for the lowest one), eV per formula unit: 1.15
M_tot, Bohr magnetons per cell: 0.0



A geometry-optimized GdNpPb structure, computed with GGA-PBE.

Structure (extended XYZ):
```
3
Lattice="5.080 0.129 1.374 1.349 0.082 5.088 2.240 -4.227 2.197" Properties=species:S:1:pos:R:3 pbc="T T T"
Gd 0.000 0.000 0.000
Np 4.335 -2.008 4.330
Pb 6.502 -3.012 6.495
```

Calculated total energy, eV/atom: -6.7063
V, Å³/cell: 103
Symmetry: F-43m (216)
M_tot, Bohr magnetons per cell: 6.0



A geometry-optimized ZnReGe structure, computed with GGA-PBE.

Structure (extended XYZ):
```
3
Lattice="0.000 2.981 2.981 2.981 0.000 2.981 2.981 2.981 0.000" Properties=species:S:1:pos:R:3 pbc="T T T"
Zn 4.471 4.471 4.471
Ge 1.490 1.490 1.490
Re 0.000 0.000 0.000
```

V, Å³/cell: 53
Symmetry: F-43m (216)
Polymorph energy (0 for the lowest one), eV per formula unit: 0.00
M_tot, Bohr magnetons per cell: 0.5



A geometry-optimized ErGeTeAuS2 structure, computed with GGA-PBE.

Structure (extended XYZ):
```
12
Lattice="-3.252 6.232 -0.463 -0.602 -6.928 1.125 1.596 1.652 11.026" Properties=species:S:1:pos:R:3 pbc="T T T"
Au -1.735 1.094 2.963
S -1.550 2.103 5.104
S -2.193 1.437 0.660
Au -0.523 -0.138 8.725
S -0.708 -1.147 6.584
Te -2.560 5.188 2.469
Ge -1.417 4.303 8.189
Te 0.302 -4.232 9.219
Er 0.798 0.826 5.513
Ge -0.841 -3.347 3.499
S -0.065 -0.482 11.029
Er 0.000 0.000 0.000
```

Calculated total energy, eV/atom: -4.6717
V, Å³/cell: 302
Symmetry: Cmcm (63)
M_tot, Bohr magnetons per cell: 0.0



A geometry-optimized AcPPtO structure, computed with GGA-PBE.

Structure (extended XYZ):
```
8
Lattice="6.694 0.000 0.000 0.000 6.694 0.000 0.000 0.000 4.413" Properties=species:S:1:pos:R:3 pbc="T T T"
P 0.000 3.347 4.320
Ac 0.000 0.000 2.207
O 3.347 3.347 0.000
P 3.347 0.000 0.093
Pt 3.347 0.000 2.299
Pt 0.000 3.347 2.114
O 0.000 0.000 0.000
Ac 3.347 3.347 2.207
```

V, Å³/cell: 198
Symmetry: P4/nmm (129)
Polymorph energy (0 for the lowest one), eV per formula unit: 2.56
M_tot, Bohr magnetons per cell: 0.0



A geometry-optimized CsPbAu3S4 structure, computed with GGA-PBE.

Structure (extended XYZ):
```
9
Lattice="6.576 0.000 0.000 0.000 6.576 0.000 0.000 0.000 6.576" Properties=species:S:1:pos:R:3 pbc="T T T"
Au 0.000 3.288 3.288
Cs 0.000 0.000 0.000
S 1.857 4.719 4.719
Au 3.288 0.000 3.288
S 1.857 1.857 1.857
S 4.719 4.719 1.857
S 4.719 1.857 4.719
Au 3.288 3.288 0.000
Pb 3.288 3.288 3.288
```

Calculated total energy, eV/atom: -3.3871
V, Å³/cell: 284
Symmetry: P-43m (215)



A geometry-optimized HfBeCoSb structure, computed with GGA-PBE.

Structure (extended XYZ):
```
4
Lattice="-3.141 -3.121 -0.027 -4.261 1.150 -0.356 -2.224 -0.871 -3.728" Properties=species:S:1:pos:R:3 pbc="T T T"
Co -7.219 -2.131 -3.083
Sb 0.000 0.000 0.000
Be -2.406 -0.710 -1.028
Hf -4.813 -1.421 -2.055
```

V, Å³/cell: 61
Symmetry: F-43m (216)
Polymorph energy (0 for the lowest one), eV per formula unit: 0.00
M_tot, Bohr magnetons per cell: 0.0



A geometry-optimized LuCuSnTe3 structure, computed with GGA-PBE.

Structure (extended XYZ):
```
12
Lattice="-2.341 3.482 -0.463 -6.456 -1.295 3.664 4.368 4.155 9.164" Properties=species:S:1:pos:R:3 pbc="T T T"
Sn -2.868 1.177 4.116
Te -2.285 2.336 9.877
Cu 1.784 4.672 6.879
Lu 0.000 0.000 0.000
Te -2.145 4.006 2.489
Cu -6.213 1.669 5.487
Sn -1.561 5.164 8.250
Te 1.405 4.766 9.499
Te -0.246 3.195 6.034
Lu 2.184 2.077 4.582
Te -5.835 1.575 2.867
Te -4.183 3.146 6.332
```

V, Å³/cell: 335
Symmetry: Cmcm (63)
Polymorph energy (0 for the lowest one), eV per formula unit: 0.02
M_tot, Bohr magnetons per cell: 0.0



A geometry-optimized Cs2CuAsS4 structure, computed with GGA-PBE.

Structure (extended XYZ):
```
16
Lattice="-2.097 5.814 2.526 -6.055 1.910 -3.634 -8.547 -2.682 6.336" Properties=species:S:1:pos:R:3 pbc="T T T"
S -2.392 1.526 0.856
Cs -6.336 4.957 1.291
S -11.294 2.443 6.365
S -8.216 3.240 4.715
As -9.205 3.108 6.657
Cs -11.175 4.083 2.787
Cs -5.525 0.959 2.442
Cu -14.084 1.464 3.484
Cs -10.364 0.085 3.938
As -7.495 1.933 -1.428
S -9.609 5.726 0.118
S -14.307 3.515 4.372
S -5.406 2.598 -1.136
S -8.483 1.801 0.514
S -7.090 -0.685 5.111
Cu -2.615 3.578 1.745
```

Calculated total energy, eV/atom: -3.9877
V, Å³/cell: 481
Symmetry: P-1 (2)



A geometry-optimized NiP structure, computed with GGA-PBE.

Structure (extended XYZ):
```
4
Lattice="-2.093 1.736 -2.502 -0.486 -3.608 0.631 -3.559 1.138 3.766" Properties=species:S:1:pos:R:3 pbc="T T T"
Ni -2.738 -1.278 1.403
P -4.199 -0.811 2.949
P -1.398 0.447 1.479
Ni -3.496 1.118 3.699
```

Calculated total energy, eV/atom: -5.6182
V, Å³/cell: 63
Symmetry: P6_3mc (186)
M_tot, Bohr magnetons per cell: 0.0